1.
Compound: AlCrC3
Source: Alexandria
Functional: PBE-GGA
Structure: relaxed

Cell lengths 3.820, 3.820, 3.820 Å; angles 90.00, 90.00, 90.00 degrees
Space group Pm-3m (No. 221)
Symmetry-distinct sites (fractional):
Al 0.000 0.000 0.000 [1 per cell]
Cr 0.500 0.500 0.500 [1 per cell]
C 0.000 0.000 0.500 [3 per cell]

Summary:
Size of the total moment, μB per formula unit: 0.24
DFT formation energy, eV/atom: 2.503
Energy above the lowest structure with this stoichiometry, eV per atom: 0.852



2.
Compound: LaAlN3
Source: Alexandria
Functional: PBE-GGA
Structure: relaxed

Cell lengths 3.867, 3.867, 3.867 Å; angles 90.00, 90.00, 90.00 degrees
Space group Pm-3m (No. 221)
Symmetry-distinct sites (fractional):
La 0.000 0.000 0.000 [1 per cell]
Al 0.500 0.500 0.500 [1 per cell]
N 0.000 0.500 0.500 [3 per cell]

Summary:
Formation energy from raw total energies, eV per atom: -0.444
Size of the total moment, μB per formula unit: 0.00



3.
Compound: La5Tb4Nd2
Source: Alexandria
Functional: PBE-GGA
Structure: relaxed

Cell lengths 18.097, 3.589, 11.851 Å; angles 90.00, 93.80, 90.00 degrees
Space group C2/m (No. 12)
Symmetry-distinct sites (fractional):
La 0.000 0.000 0.000 [2 per cell]
La 0.095 0.500 0.534 [4 per cell]
La 0.176 0.500 0.073 [4 per cell]
Tb 0.033 0.500 0.261 [4 per cell]
Tb 0.140 0.000 0.800 [4 per cell]
Nd 0.217 0.000 0.352 [4 per cell]

Summary:
Size of the total moment, μB per formula unit: 0.00
DFT formation energy, eV/atom: 0.070
Energy above the lowest structure with this stoichiometry, eV per atom: 0.000



4.
Compound: CsAg2BiPt
Source: Alexandria
Functional: PBE-GGA
Structure: relaxed

Cell lengths 5.725, 5.725, 5.273 Å; angles 90.00, 90.00, 90.00 degrees
Space group P4/mmm (No. 123)
Symmetry-distinct sites (fractional):
Cs 0.000 0.000 0.000 [1 per cell]
Ag 0.000 0.500 0.000 [2 per cell]
Bi 0.500 0.500 0.500 [1 per cell]
Pt 0.000 0.000 0.500 [1 per cell]

Summary:
Size of the total moment, μB per formula unit: 0.00
DFT formation energy, eV/atom: 1.442



5.
Compound: Pm3Ho2In2
Source: Alexandria
Functional: PBE-GGA
Structure: relaxed

Cell lengths 16.899, 3.509, 8.017 Å; angles 90.00, 117.71, 90.00 degrees
Space group C2/m (No. 12)
Symmetry-distinct sites (fractional):
Pm 0.000 0.000 0.000 [2 per cell]
Pm 0.210 0.000 0.132 [4 per cell]
Ho 0.130 0.000 0.470 [4 per cell]
In 0.067 0.500 0.733 [4 per cell]

Summary:
Size of the total moment, μB per formula unit: 0.00
DFT formation energy, eV/atom: -0.124
Energy above the lowest structure with this stoichiometry, eV per atom: 0.040



6.
Compound: La2CdMoSe
Source: Alexandria
Functional: PBE-GGA
Structure: relaxed

Cell lengths 5.594, 5.594, 4.862 Å; angles 90.00, 90.00, 90.00 degrees
Space group P4/mmm (No. 123)
Symmetry-distinct sites (fractional):
La 0.000 0.500 0.000 [2 per cell]
Cd 0.000 0.000 0.500 [1 per cell]
Mo 0.500 0.500 0.000 [1 per cell]
Se 0.500 0.500 0.500 [1 per cell]

Summary:
Formation energy from raw total energies, eV per atom: -0.098
Size of the total moment, μB per formula unit: 0.00